## GeSeNF2 (PBE)

Data for a geometry-optimized GeSeNF2 structure.

As for the density of states at the Fermi level: 2.73 states/eV per cell. Its volume is 15.4 Å³/atom. The formation energy without anion corrections is 0.084 eV/atom. The energy above the most stable polymorph in this dataset is 261 meV/atom. The calculated total energy comes out at -19.75 eV for the cell shown.

The space group is P4/mmm (No. 123) and the conventional cell measures 4.561, 4.561 and 3.713 Å, with angles of 90.00, 90.00 and 90.00 degrees. The inequivalent atoms are Ge at (0.000, 0.000, 0.000), Se at (0.500, 0.500, 0.500), N at (0.500, 0.500, 0.000) and F at (0.000, 0.500, 0.500).

## KIn2Cu (PBE)

Data for a geometry-optimized KIn2Cu structure.

The formation energy is 0.09 eV/atom. As for the density of states at the Fermi level: 3.62 states/eV per cell. Its volume is 27.0 Å³/atom. The calculated total energy comes out at -20.65 eV for the cell shown.

The space group is Immm (No. 71) and the conventional cell measures 3.336, 5.808 and 11.159 Å, with angles of 90.00, 90.00 and 90.00 degrees. The inequivalent atoms are K at (0.000, 0.000, 0.000), In at (0.000, 0.500, 0.196) and Cu at (0.000, 0.000, 0.500).

## Sc5Se5O2 (PBE)

Data for a geometry-optimized Sc5Se5O2 structure.

As for the density of states at the Fermi level: 5.44 states/eV per cell. Its volume is 18.5 Å³/atom. The formation energy without anion corrections is -2.046 eV/atom. The calculated total energy comes out at -167.09 eV for the cell shown.

The space group is C2/m (No. 12) and the conventional cell measures 12.165, 3.631 and 10.367 Å, with angles of 90.00, 103.98 and 90.00 degrees. The inequivalent atoms are Sc at (0.000, 0.000, 0.000), Sc at (0.096, 0.000, 0.369), Sc at (0.153, 0.500, 0.794), Se at (0.000, 0.500, 0.500), Se at (0.163, 0.500, 0.061), Se at (0.239, 0.000, 0.634) and O at (0.038, 0.000, 0.798).

## Tb3Sm2Zn3 (PBE)

Data for a geometry-optimized Tb3Sm2Zn3 structure.

The formation energy is -0.24 eV/atom. As for the density of states at the Fermi level: 18.09 states/eV per cell. Its volume is 25.7 Å³/atom. The calculated total energy comes out at -58.08 eV for the cell shown.

The space group is Immm (No. 71) and the conventional cell measures 3.651, 5.191 and 21.684 Å, with angles of 90.00, 90.00 and 90.00 degrees. The inequivalent atoms are Tb at (0.000, 0.000, 0.000), Tb at (0.000, 0.500, 0.116), Sm at (0.000, 0.000, 0.228), Zn at (0.000, 0.000, 0.500) and Zn at (0.000, 0.500, 0.387).

## LiCa2Ta (PBE)

Data for a geometry-optimized LiCa2Ta structure.

The formation energy is 0.78 eV/atom. As for the density of states at the Fermi level: 10.62 states/eV per cell. Its volume is 25.1 Å³/atom. The energy above the most stable polymorph in this dataset is 288 meV/atom. The calculated total energy comes out at -29.32 eV for the cell shown.

The space group is Immm (No. 71) and the conventional cell measures 3.325, 5.700 and 10.609 Å, with angles of 90.00, 90.00 and 90.00 degrees. The inequivalent atoms are Li at (0.000, 0.000, 0.000), Ca at (0.000, 0.500, 0.266) and Ta at (0.000, 0.000, 0.500).

## Na2SbPd (PBE)

Data for a geometry-optimized Na2SbPd structure.

As for the density of states at the Fermi level: 1.24 states/eV per cell. Its volume is 21.3 Å³/atom. The formation energy without anion corrections is -0.281 eV/atom. The calculated total energy comes out at -13.08 eV for the cell shown.

The space group is P4/mmm (No. 123) and the conventional cell measures 4.165, 4.165 and 4.920 Å, with angles of 90.00, 90.00 and 90.00 degrees. The inequivalent atoms are Na at (0.000, 0.500, 0.000), Sb at (0.000, 0.000, 0.500) and Pd at (0.500, 0.500, 0.500).

## CdInTe2 (PBE)

Data for a geometry-optimized CdInTe2 structure.

As for the density of states at the Fermi level: 8.82 states/eV per cell. Its volume is 32.7 Å³/atom. The formation energy without anion corrections is 0.067 eV/atom. The calculated total energy comes out at -29.01 eV for the cell shown.

The space group is R-3m (No. 166, hexagonal axes) and the conventional cell measures 3.7515, 3.7515 and 32.1671 Å, with angles of 90.00, 90.00 and 120.00 degrees. The inequivalent atoms are Cd at (0.0000, 0.0000, 0.0000), In at (0.0000, 0.0000, 0.5000) and Te at (0.0000, 0.0000, 0.3966).

## Nd5ZnHg6 (PBE)

Data for a geometry-optimized Nd5ZnHg6 structure.

The formation energy is -0.41 eV/atom. As for the density of states at the Fermi level: 20.55 states/eV per cell. Its volume is 26.8 Å³/atom. The calculated total energy comes out at -63.67 eV for the cell shown.

The space group is Cmmm (No. 65) and the conventional cell measures 5.369, 15.559 and 7.702 Å, with angles of 90.00, 90.00 and 90.00 degrees. The inequivalent atoms are Nd at (0.000, 0.000, 0.000), Nd at (0.000, 0.320, 0.000), Nd at (0.000, 0.347, 0.500), Zn at (0.000, 0.000, 0.500), Hg at (0.000, 0.160, 0.272) and Hg at (0.000, 0.500, 0.229).

## Cs4SmDy3Te8 (PBE)

Data for a geometry-optimized Cs4SmDy3Te8 structure.

Its volume is 40.4 Å³/atom. The formation energy without anion corrections is -1.391 eV/atom. The calculated total energy comes out at -207.97 eV for the cell shown.

The space group is R-3m (No. 166, hexagonal axes) and the conventional cell measures 9.1447, 9.1447 and 26.7748 Å, with angles of 90.00, 90.00 and 120.00 degrees. The inequivalent atoms are Cs at (0.0000, 0.0000, 0.0000), Cs at (0.0000, 0.5000, 0.0000), Sm at (0.0000, 0.0000, 0.5000), Dy at (0.0000, 0.5000, 0.5000), Te at (0.0000, 0.0000, 0.2297) and Te at (0.0043, 0.5021, 0.7697).

## YPBr4 (PBE)

Data for a geometry-optimized YPBr4 structure.

As for the density of states at the Fermi level: 35.31 states/eV per cell. Its volume is 27.2 Å³/atom. The formation energy without anion corrections is 0.368 eV/atom. The calculated total energy comes out at -65.42 eV for the cell shown.

The space group is F-43m (No. 216) and the conventional cell measures 8.670, 8.670 and 8.670 Å, with angles of 90.00, 90.00 and 90.00 degrees. The inequivalent atoms are Y at (0.000, 0.000, 0.000), P at (0.250, 0.250, 0.250) and Br at (0.125, 0.125, 0.625).

## NaCaNd2S4 (PBE)

Data for a geometry-optimized NaCaNd2S4 structure.

As for the density of states at the Fermi level: 10.36 states/eV per cell. Its volume is 23.9 Å³/atom. The formation energy without anion corrections is -1.925 eV/atom. The calculated total energy comes out at -179.07 eV for the cell shown.

The space group is Imma (No. 74) and the conventional cell measures 8.131, 8.158 and 11.505 Å, with angles of 90.00, 90.00 and 90.00 degrees. The inequivalent atoms are Na at (0.000, 0.000, 0.000), Ca at (0.250, 0.250, 0.250), Nd at (0.000, 0.000, 0.500), Nd at (0.250, 0.250, 0.750), S at (0.000, 0.002, 0.251) and S at (0.246, 0.250, 0.500).

## YICl3 (PBE)

Data for a geometry-optimized YICl3 structure.

As for the density of states at the Fermi level: 12.68 states/eV per cell. Its volume is 30.9 Å³/atom. The formation energy without anion corrections is -1.480 eV/atom. The energy above the most stable polymorph in this dataset is 0 meV/atom. The calculated total energy comes out at -20.95 eV for the cell shown.

The space group is Pm-3m (No. 221) and the conventional cell measures 5.365, 5.365 and 5.365 Å, with angles of 90.00, 90.00 and 90.00 degrees. The inequivalent atoms are Y at (0.000, 0.000, 0.000), I at (0.500, 0.500, 0.500) and Cl at (0.000, 0.000, 0.500).

## Be2FeTe (PBE)

Data for a geometry-optimized Be2FeTe structure.

As for the density of states at the Fermi level: 5.31 states/eV per cell. Its volume is 14.0 Å³/atom. The formation energy without anion corrections is 0.596 eV/atom. The calculated total energy comes out at -33.34 eV for the cell shown.

The space group is C2/m (No. 12) and the conventional cell measures 4.964, 8.486 and 3.200 Å, with angles of 90.00, 123.73 and 90.00 degrees. The inequivalent atoms are Be at (0.250, 0.250, 0.000), Fe at (0.000, 0.000, 0.000) and Te at (0.000, 0.500, 0.000).

## Nd2LuMg (PBE)

Data for a geometry-optimized Nd2LuMg structure.

The formation energy is -0.02 eV/atom. As for the density of states at the Fermi level: 5.63 states/eV per cell. Its volume is 30.9 Å³/atom. The energy above the most stable polymorph in this dataset is 0 meV/atom. The calculated total energy comes out at -15.74 eV for the cell shown.

The space group is P4/mmm (No. 123) and the conventional cell measures 3.707, 3.707 and 9.005 Å, with angles of 90.00, 90.00 and 90.00 degrees. The inequivalent atoms are Nd at (0.000, 0.000, 0.235), Lu at (0.500, 0.500, 0.500) and Mg at (0.500, 0.500, 0.000).

## SrBeRu2 (PBE)

Data for a geometry-optimized SrBeRu2 structure.

The formation energy is 0.79 eV/atom. As for the density of states at the Fermi level: 10.35 states/eV per cell. Its volume is 16.8 Å³/atom. The calculated total energy comes out at -62.35 eV for the cell shown.

The space group is R3m (No. 160, hexagonal axes) and the conventional cell measures 2.9987, 2.9987 and 25.8434 Å, with angles of 90.00, 90.00 and 120.00 degrees. The inequivalent atoms are Sr at (0.0000, 0.0000, 0.0000), Be at (0.0000, 0.0000, 0.7630), Ru at (0.0000, 0.0000, 0.2315) and Ru at (0.0000, 0.0000, 0.4870).